TiFe3Tc | Alexandria via LeMat-Bulk | PBE-GGA | optimized geometry; volume = 76 Å³ per cell; raw total energy = -7.4367 eV/atom; space-group type = Pm-3m, No. 221
1.0
4.229 0.000 0.000
0.000 4.229 0.000
0.000 0.000 4.229
Ti Fe Tc
1 3 1
direct
0.000 0.000 0.000 Ti
0.000 0.000 0.500 Fe
0.000 0.500 0.000 Fe
0.500 0.000 0.000 Fe
0.500 0.500 0.500 Tc